1.
Density functional theory data (GGA-PBE) for a relaxed GdLuThZr crystal.

As for the final energy: -8.50 eV/atom. The density comes out at 9.442 Mg/m³.

a = 7.7256 Å, b = 7.7256 Å, c = 7.7256 Å
α = 90.00°, β = 90.00°, γ = 90.00°
Space group F-43m (No. 216)
Symmetry-distinct sites (fractional):
Gd: 0.0000 0.0000 0.0000 x4
Lu: 0.2500 0.2500 0.2500 x4
Th: 0.0000 0.0000 0.5000 x4
Zr: 0.2500 0.2500 0.7500 x4

---

2.
Density functional theory data (GGA-PBE) for a relaxed GdLuTi crystal.

As for the final energy: -8.61 eV/atom. The density comes out at 8.207 Mg/m³.

a = 3.3183 Å, b = 3.3183 Å, c = 8.0648 Å
α = 90.00°, β = 90.00°, γ = 120.00°
Space group P3m1 (No. 156)
Symmetry-distinct sites (fractional):
Gd: 0.0000 0.0000 0.0000 x1
Lu: 0.3333 0.6667 0.6134 x1
Ti: 0.6667 0.3333 0.3101 x1

---

Which of these has the lowest final energy? GdLuTi

---

Which formula does entry 1 have? GdLuThZr

---

Which of these has the lowest density? GdLuTi

---

The highest density belongs to which entry? GdLuThZr